# YZr2Cu | Alexandria via LeMat-Bulk | GGA-PBEsol | relaxed
data_YZr2Cu
_symmetry_space_group_name_H-M 'R -3 m'
_symmetry_Int_Tables_number 166
_symmetry_space_group_name_Hall '-R 3 2"'
_cell_length_a 3.2296
_cell_length_b 3.2296
_cell_length_c 28.6261
_cell_angle_alpha 90.00
_cell_angle_beta 90.00
_cell_angle_gamma 120.00
loop_
_atom_site_label
_atom_site_fract_x
_atom_site_fract_y
_atom_site_fract_z
_atom_site_occupancy
Y1 0.0000 0.0000 0.0000 1
Zr1 0.0000 0.0000 0.2376 1
Cu1 0.0000 0.0000 0.5000 1
# Density of states at the Fermi level ... 13.02 states/eV per cell
# Offset from the most stable computed form ... 22.8 kJ/mol of atoms
# ΔH_f (0 K) ... 0.1775 eV/atom

=====

# YZr2Cu | Alexandria via LeMat-Bulk | GGA-PBEsol | relaxed
data_YZr2Cu
_symmetry_space_group_name_H-M 'C m m m'
_symmetry_Int_Tables_number 65
_symmetry_space_group_name_Hall '-C 2 2'
_cell_length_a 5.997
_cell_length_b 9.001
_cell_length_c 3.103
_cell_angle_alpha 90.00
_cell_angle_beta 90.00
_cell_angle_gamma 90.00
loop_
_atom_site_label
_atom_site_fract_x
_atom_site_fract_y
_atom_site_fract_z
_atom_site_occupancy
Y1 0.000 0.000 0.000 1
Zr1 0.250 0.250 0.500 1
Cu1 0.000 0.500 0.000 1
# Density of states at the Fermi level ... 8.98 states/eV per cell
# Offset from the most stable computed form ... 32.3 kJ/mol of atoms
# ΔH_f (0 K) ... 0.2756 eV/atom

=====

# ZnCu3 | Alexandria via LeMat-Bulk | GGA-PBEsol | relaxed
data_ZnCu3
_symmetry_space_group_name_H-M 'I m m 2'
_symmetry_Int_Tables_number 44
_cell_length_a 2.592
_cell_length_b 8.296
_cell_length_c 4.371
_cell_angle_alpha 90.00
_cell_angle_beta 90.00
_cell_angle_gamma 90.00
loop_
_symmetry_equiv_pos_as_xyz
'x,y,z'
'-x,-y,z'
'-x,y,z'
'x,-y,z'
'x+1/2,y+1/2,z+1/2'
'-x+1/2,-y+1/2,z+1/2'
'-x+1/2,y+1/2,z+1/2'
'x+1/2,-y+1/2,z+1/2'
loop_
_atom_site_label
_atom_site_fract_x
_atom_site_fract_y
_atom_site_fract_z
_atom_site_occupancy
Zn1 0.000 0.000 0.000 1
Cu1 0.000 0.249 0.659 1
Cu2 0.000 0.500 0.998 1
# Density of states at the Fermi level ... 2.04 states/eV per cell
# ΔH_f (0 K) ... -0.0601 eV/atom

=====

# ZnCu3 | Alexandria via LeMat-Bulk | GGA-PBEsol | relaxed
data_ZnCu3
_symmetry_space_group_name_H-M 'P m m m'
_symmetry_Int_Tables_number 47
_cell_length_a 2.602
_cell_length_b 3.535
_cell_length_c 5.116
_cell_angle_alpha 90.00
_cell_angle_beta 90.00
_cell_angle_gamma 90.00
loop_
_symmetry_equiv_pos_as_xyz
'x,y,z'
'-x,-y,-z'
'-x,-y,z'
'x,y,-z'
'x,-y,-z'
'-x,y,z'
'-x,y,-z'
'x,-y,z'
loop_
_atom_site_label
_atom_site_fract_x
_atom_site_fract_y
_atom_site_fract_z
_atom_site_occupancy
Zn1 0.000 0.000 0.000 1
Cu1 0.000 0.000 0.500 1
Cu2 0.500 0.500 0.254 1
# Density of states at the Fermi level ... 1.07 states/eV per cell
# ΔH_f (0 K) ... -0.0572 eV/atom

=====

# ZnCu3 | Alexandria via LeMat-Bulk | GGA-PBEsol | relaxed
data_ZnCu3
_symmetry_space_group_name_H-M 'P -6 m 2'
_symmetry_Int_Tables_number 187
_symmetry_space_group_name_Hall 'P -6 2'
_cell_length_a 2.5738
_cell_length_b 2.5738
_cell_length_c 8.2173
_cell_angle_alpha 90.00
_cell_angle_beta 90.00
_cell_angle_gamma 120.00
loop_
_atom_site_label
_atom_site_fract_x
_atom_site_fract_y
_atom_site_fract_z
_atom_site_occupancy
Zn1 0.0000 0.0000 0.0000 1
Cu1 0.0000 0.0000 0.5000 1
Cu2 0.6667 0.3333 0.2542 1
# Density of states at the Fermi level ... 1.22 states/eV per cell
# ΔH_f (0 K) ... -0.0240 eV/atom

=====

# Zn2Cu | Alexandria via LeMat-Bulk | GGA-PBEsol | relaxed
data_Zn2Cu
_symmetry_space_group_name_H-M 'I m m m'
_symmetry_Int_Tables_number 71
_symmetry_space_group_name_Hall '-I 2 2'
_cell_length_a 2.915
_cell_length_b 3.058
_cell_length_c 8.600
_cell_angle_alpha 90.00
_cell_angle_beta 90.00
_cell_angle_gamma 90.00
loop_
_atom_site_label
_atom_site_fract_x
_atom_site_fract_y
_atom_site_fract_z
_atom_site_occupancy
Zn1 0.000 0.000 0.161 1
Cu1 0.000 0.000 0.500 1
# Density of states at the Fermi level ... 1.23 states/eV per cell
# ΔH_f (0 K) ... -0.0674 eV/atom